Ga2RePt | PBE-GGA | optimized geometry

DOS at the Fermi energy in states/eV per cell: 4.91
Distance to the lowest polymorph of the same formula in eV per atom: 0.4408
Formation enthalpy at 0 K in eV per atom: 0.3306

abc: 6.8690 6.8690 5.6160
angles: 52.30 52.30 90.00
Element x y z (fractional)
Pt  0.0000  0.0000  0.0000
Ga  0.1152  0.6250  0.2500
Re  0.5000  0.5000  0.0000
Ga  0.8750  0.8848  0.7500
Ga  0.6348  0.1250  0.2500
Pt  0.7500  0.2500  0.5000
Ga  0.3750  0.3652  0.7500
Re  0.2500  0.7500  0.5000



GaRe2PtS | PBE-GGA | optimized geometry

Energy relative to the elements, uncorrected in eV per atom: 2.04
DOS at the Fermi energy in states/eV per cell: 7.16

abc: 4.6470 4.6470 4.3350
angles: 90.00 90.00 90.00
Element x y z (fractional)
S  0.0000  0.0000  0.5000
Pt  0.5000  0.5000  0.5000
Ga  0.0000  0.0000  0.0000
Re  0.0000  0.5000  0.0000
Re  0.5000  0.0000  0.0000



- What is the formula in the second record?
  GaRe2PtS